(1)
Below is an optimized crystal structure of TmHfSc2S4, with properties calculated at the PBE level.

a = 6.435 Å, b = 3.715 Å, c = 6.445 Å
α = 90.00°, β = 109.64°, γ = 90.00°
Space group P2/m (No. 10)
Inequivalent atoms, fractional coordinates:
Tm1 0.000 0.000 0.000 x1
Hf1 0.500 0.500 0.000 x1
Sc1 0.000 0.500 0.500 x1
Sc2 0.500 0.000 0.500 x1
S1 0.255 0.000 0.747 x2
S2 0.259 0.500 0.257 x2

Calculated values
As for the density of states at the Fermi level: 0.417 states/eV per atom. For the mass density, the calculation gives 6.47 Mg/m³. The uncorrected formation energy is -1.697 eV per atom.



(2)
Below is an optimized crystal structure of CeUSe4, with properties calculated at the PBE level.

a = 9.368 Å, b = 9.478 Å, c = 4.332 Å
α = 90.00°, β = 90.00°, γ = 90.00°
Space group Cmmm (No. 65)
Inequivalent atoms, fractional coordinates:
Ce1 0.000 0.000 0.000 x2
U1 0.000 0.500 0.500 x2
Se1 0.000 0.312 0.000 x4
Se2 0.203 0.000 0.500 x4

Calculated values
As for the energy relative to the lowest polymorph listed for this composition: 0.0751 eV per atom. As for the density of states at the Fermi level: 1.322 states/eV per atom. For the mass density, the calculation gives 5.99 Mg/m³. The uncorrected formation energy is -1.280 eV per atom.



(3)
Below is an optimized crystal structure of Ac2HgBi3Rh4, with properties calculated at the PBE level.

a = 4.706 Å, b = 4.706 Å, c = 10.978 Å
α = 90.00°, β = 90.00°, γ = 90.00°
Space group P-4m2 (No. 115)
Inequivalent atoms, fractional coordinates:
Ac1 0.000 0.500 0.249 x2
Hg1 0.500 0.500 0.000 x1
Bi1 0.000 0.000 0.000 x1
Bi2 0.000 0.500 0.627 x2
Rh1 0.000 0.000 0.500 x1
Rh2 0.000 0.500 0.868 x2
Rh3 0.500 0.500 0.500 x1

Calculated values
As for the density of states at the Fermi level: 0.790 states/eV per atom. Its formation energy is -4.80 eV per formula unit. For the mass density, the calculation gives 11.56 Mg/m³.



(4)
Below is an optimized crystal structure of HfAl3Fe, with properties calculated at the PBE level.

a = 8.150 Å, b = 3.863 Å, c = 10.232 Å
α = 90.00°, β = 90.00°, γ = 90.00°
Space group Pnma (No. 62)
Inequivalent atoms, fractional coordinates:
Hf1 0.206 0.250 0.009 x4
Al1 0.045 0.250 0.585 x4
Al2 0.086 0.750 0.795 x4
Al3 0.165 0.750 0.220 x4
Fe1 0.135 0.250 0.361 x4

Calculated values
As for the energy relative to the lowest polymorph listed for this composition: 0.0000 eV per atom. As for the density of states at the Fermi level: 0.592 states/eV per atom. Its formation energy is -1.62 eV per formula unit. For the mass density, the calculation gives 6.50 Mg/m³.



(5)
Below is an optimized crystal structure of Cs2InAgBr6, with properties calculated at the PBE level.

a = 7.922 Å, b = 7.898 Å, c = 13.746 Å
α = 90.00°, β = 125.15°, γ = 90.00°
Space group P2_1/c (No. 14)
Inequivalent atoms, fractional coordinates:
Cs1 0.249 0.006 0.250 x4
In1 0.500 0.000 0.000 x2
Ag1 0.000 0.000 0.500 x2
Br1 0.233 0.232 0.990 x4
Br2 0.260 0.743 0.991 x4
Br3 0.276 0.501 0.257 x4

Calculated values
As for the density of states at the Fermi level: 0.026 states/eV per atom. For the mass density, the calculation gives 4.57 Mg/m³. The uncorrected formation energy is -1.142 eV per atom.



(6)
Below is an optimized crystal structure of SnHAu3, with properties calculated at the PBE level.

a = 4.370 Å, b = 4.370 Å, c = 4.370 Å
α = 90.00°, β = 90.00°, γ = 90.00°
Space group Pm-3m (No. 221)
Inequivalent atoms, fractional coordinates:
Sn1 0.000 0.000 0.000 x1
H1 0.500 0.500 0.500 x1
Au1 0.000 0.500 0.500 x3

Calculated values
As for the energy relative to the lowest polymorph listed for this composition: 0.0000 eV per atom. As for the density of states at the Fermi level: 0.225 states/eV per atom. For the mass density, the calculation gives 14.14 Mg/m³.



(7)
Below is an optimized crystal structure of K3CuAg2Cl6, with properties calculated at the PBE level.

a = 7.5959 Å, b = 7.5959 Å, c = 7.7991 Å
α = 90.00°, β = 90.00°, γ = 120.00°
Space group P-3m1 (No. 164)
Inequivalent atoms, fractional coordinates:
K1 0.0000 0.0000 0.0000 x1
K2 0.3333 0.6667 0.6166 x2
Cu1 0.0000 0.0000 0.5000 x1
Ag1 0.3333 0.6667 0.1889 x2
Cl1 0.1547 0.3093 0.3024 x6

Calculated values
As for the density of states at the Fermi level: 0.143 states/eV per atom. For the mass density, the calculation gives 2.60 Mg/m³. The uncorrected formation energy is -1.039 eV per atom.



(8)
Below is an optimized crystal structure of CsNa, with properties calculated at the PBE level.

a = 15.746 Å, b = 15.746 Å, c = 4.827 Å
α = 90.00°, β = 90.00°, γ = 90.00°
Space group I4/m (No. 87)
Inequivalent atoms, fractional coordinates:
Cs1 0.121 0.815 0.000 x8
Na1 0.067 0.394 0.000 x8

Calculated values
As for the density of states at the Fermi level: 0.852 states/eV per atom. Its formation energy is 0.14 eV per formula unit. For the mass density, the calculation gives 1.73 Mg/m³.